[1]
Material: La2SmCu
Method: DFT, PBE
State: optimized geometry Values from VASP.

```
&SYSTEM
  ibrav = 0, nat = 4, ntyp = 3
/
ATOMIC_SPECIES
La 138.91 La.upf
Sm 150.36 Sm.upf
Cu 63.55 Cu.upf
CELL_PARAMETERS angstrom
3.705 0.000 0.000
0.000 3.705 0.000
0.000 0.000 8.763
ATOMIC_POSITIONS crystal
La 0.000 0.000 0.201
La 0.000 0.000 0.799
Sm 0.500 0.500 0.500
Cu 0.500 0.500 0.000
```

Values from the calculation:
As for the energy relative to the elements: -0.18 eV per formula unit. The calculation puts the volume at 120.3 Å³/cell. The density of states at the Fermi level comes out at 5.8 states/eV per cell. The space group is No. 123. Its energy above the most stable polymorph in this dataset is 0.37 kcal/mol of atoms.

[2]
Material: YAuCl2
Method: DFT, PBE
State: optimized geometry Values from VASP.

```
&SYSTEM
  ibrav = 0, nat = 4, ntyp = 3
/
ATOMIC_SPECIES
Y 88.91 Y.upf
Au 196.97 Au.upf
Cl 35.45 Cl.upf
CELL_PARAMETERS angstrom
3.720 0.000 0.000
0.000 2.064 7.638
0.000 -2.064 7.638
ATOMIC_POSITIONS crystal
Y 0.000 0.000 0.000
Au 0.500 0.421 0.421
Cl 0.000 0.830 0.830
Cl 0.500 0.124 0.124
```

Values from the calculation:
The calculation puts the volume at 117.3 Å³/cell. The value obtained for the energy relative to the elements, uncorrected is -31.95 kcal/mol of atoms. The space group is No. 38. Its energy above the most stable polymorph in this dataset is 1.59 kcal/mol of atoms.

[3]
Material: Mo2RuRh2
Method: DFT, PBE
State: optimized geometry Values from VASP.

```
&SYSTEM
  ibrav = 0, nat = 5, ntyp = 3
/
ATOMIC_SPECIES
Mo 95.94 Mo.upf
Ru 101.07 Ru.upf
Rh 102.91 Rh.upf
CELL_PARAMETERS angstrom
1.386 -9.808 0.000
1.386 9.808 0.000
0.000 0.000 2.792
ATOMIC_POSITIONS crystal
Mo 0.098 0.902 0.000
Mo 0.902 0.098 0.000
Ru 0.500 0.500 0.500
Rh 0.309 0.691 0.500
Rh 0.691 0.309 0.500
```

Values from the calculation:
As for the energy relative to the elements: -0.01 eV per formula unit. The calculation puts the volume at 75.9 Å³/cell. The density of states at the Fermi level comes out at 4.6 states/eV per cell. The space group is No. 65. Its energy above the most stable polymorph in this dataset is 0.78 kcal/mol of atoms.

[4]
Material: Sm4Co3Pt
Method: DFT, PBE
State: optimized geometry Values from VASP.

```
&SYSTEM
  ibrav = 0, nat = 8, ntyp = 3
/
ATOMIC_SPECIES
Sm 150.36 Sm.upf
Co 58.93 Co.upf
Pt 195.08 Pt.upf
CELL_PARAMETERS angstrom
4.016 0.000 0.000
0.000 4.050 0.000
0.000 0.000 10.799
ATOMIC_POSITIONS crystal
Sm 0.000 0.000 0.000
Sm 0.000 0.500 0.490
Sm 0.500 0.000 0.710
Sm 0.500 0.500 0.209
Co 0.000 0.000 0.300
Co 0.500 0.000 0.405
Co 0.500 0.500 0.935
Pt 0.000 0.500 0.779
```

Values from the calculation:
As for the energy relative to the elements: -2.88 eV per formula unit. The calculation puts the volume at 175.6 Å³/cell. The density of states at the Fermi level comes out at 6.1 states/eV per cell. The space group is No. 25.

[5]
Material: RbFeCl2
Method: DFT, PBE
State: optimized geometry Values from VASP.

```
&SYSTEM
  ibrav = 0, nat = 4, ntyp = 3
/
ATOMIC_SPECIES
Rb 85.47 Rb.upf
Fe 55.84 Fe.upf
Cl 35.45 Cl.upf
CELL_PARAMETERS angstrom
2.626 1.516 7.134
-2.626 1.516 7.134
0.000 -3.033 7.134
ATOMIC_POSITIONS crystal
Rb 0.000 0.000 0.000
Fe 0.500 0.500 0.500
Cl 0.399 0.399 0.399
Cl 0.601 0.601 0.601
```

Values from the calculation:
The calculation puts the volume at 170.5 Å³/cell. The value obtained for the energy relative to the elements, uncorrected is -18.27 kcal/mol of atoms. The density of states at the Fermi level comes out at 10.3 states/eV per cell. The space group is No. 166. Its energy above the most stable polymorph in this dataset is 0.00 kcal/mol of atoms.

[6]
Material: Tm4NpP5
Method: DFT, PBE
State: optimized geometry Values from VASP.

```
&SYSTEM
  ibrav = 0, nat = 10, ntyp = 3
/
ATOMIC_SPECIES
Tm 168.93 Tm.upf
Np 237.00 Np.upf
P 30.97 P.upf
CELL_PARAMETERS angstrom
-1.972 2.787 9.882
1.972 -2.787 9.882
1.972 2.787 -9.882
ATOMIC_POSITIONS crystal
Tm 0.101 0.101 0.000
Tm 0.299 0.299 0.000
Tm 0.701 0.701 0.000
Tm 0.899 0.899 0.000
Np 0.500 0.500 0.000
P 0.000 0.500 0.500
P 0.200 0.700 0.500
P 0.401 0.901 0.500
P 0.599 0.099 0.500
P 0.800 0.300 0.500
```

Values from the calculation:
As for the energy relative to the elements: -14.55 eV per formula unit. The calculation puts the volume at 217.3 Å³/cell. The density of states at the Fermi level comes out at 9.3 states/eV per cell. The space group is No. 71.

[7]
Material: AlBi2AsRh
Method: DFT, PBE
State: optimized geometry Values from VASP.

```
&SYSTEM
  ibrav = 0, nat = 5, ntyp = 4
/
ATOMIC_SPECIES
Al 26.98 Al.upf
Bi 208.98 Bi.upf
As 74.92 As.upf
Rh 102.91 Rh.upf
CELL_PARAMETERS angstrom
5.641 0.000 0.000
0.000 5.641 0.000
0.000 0.000 4.540
ATOMIC_POSITIONS crystal
Al 0.000 0.000 0.000
Bi 0.000 0.500 0.500
Bi 0.500 0.000 0.500
As 0.500 0.500 0.500
Rh 0.500 0.500 0.000
```

Values from the calculation:
As for the energy relative to the elements: 3.00 eV per formula unit. The calculation puts the volume at 144.4 Å³/cell. The density of states at the Fermi level comes out at 4.1 states/eV per cell. The space group is No. 123.

[8]
Material: Mg3NbNi
Method: DFT, PBE
State: optimized geometry Values from VASP.

```
&SYSTEM
  ibrav = 0, nat = 5, ntyp = 3
/
ATOMIC_SPECIES
Mg 24.30 Mg.upf
Nb 92.91 Nb.upf
Ni 58.69 Ni.upf
CELL_PARAMETERS angstrom
4.634 0.000 0.000
0.000 4.634 0.000
0.000 0.000 4.634
ATOMIC_POSITIONS crystal
Mg 0.000 0.000 0.500
Mg 0.000 0.500 0.000
Mg 0.500 0.000 0.000
Nb 0.500 0.500 0.500
Ni 0.000 0.000 0.000
```

Values from the calculation:
As for the energy relative to the elements: 2.93 eV per formula unit. The calculation puts the volume at 99.5 Å³/cell. The density of states at the Fermi level comes out at 2.7 states/eV per cell. The space group is No. 221. Its energy above the most stable polymorph in this dataset is 0.00 kcal/mol of atoms.

Q: What is the formula in the sixth record?
A: Tm4NpP5